Mg2HgCl: single point on PBEsol structure, SCAN.

```
Mg2HgCl
1.0
-0.274 -3.244 -0.499
0.931 0.403 -3.134
7.307 -0.933 2.052
Cl Hg Mg
1 1 2
Direct
0.500 0.500 0.000 Cl
0.500 0.500 0.500 Hg
0.000 0.000 0.734 Mg
0.000 0.000 0.266 Mg
```

Computed properties:
The calculated density comes out at 5.70 g/cm3. Its magnetic moment is 0.00 Bohr magnetons per cell. Its space group is No. 123. Its offset from the most stable computed form is 0 meV per atom.

***

MgHgP2Cl: single point on PBEsol structure, SCAN.

```
MgHgP2Cl
1.0
-0.281 2.993 -3.583
-4.711 0.903 1.124
1.411 3.676 2.960
P Mg Hg Cl
2 1 1 1
Direct
0.000 0.000 0.500 P
0.000 0.500 0.000 P
0.000 0.000 0.000 Mg
0.500 0.500 0.500 Hg
0.500 0.000 0.000 Cl
```

Computed properties:
The calculated density comes out at 4.72 g/cm3. Its magnetic moment is 1.63 Bohr magnetons per cell. Its space group is No. 123.

***

MgHgRh2Cl: single point on PBEsol structure, SCAN.

```
MgHgRh2Cl
1.0
4.678 0.000 0.000
0.000 4.678 0.000
0.000 0.000 4.947
Mg Rh Hg Cl
1 2 1 1
Direct
0.000 0.000 0.000 Mg
0.000 0.500 0.000 Rh
0.500 0.000 0.000 Rh
0.000 0.000 0.500 Hg
0.500 0.500 0.500 Cl
```

Computed properties:
The calculated density comes out at 7.15 g/cm3. Its magnetic moment is 2.36 Bohr magnetons per cell. Its space group is No. 123.

***

Number 1: formation energy without anion corrections -633 meV per atom, total energy -0.81423 Ha/atom. Number 2: formation energy without anion corrections 353 meV per atom, total energy -0.73609 Ha/atom. Number 3: formation energy without anion corrections 884 meV per atom, total energy -1.06014 Ha/atom.